Record 1
An optimized crystal structure of CaZnCrCu. Source: Alexandria, functional GGA-PBE.

Cell: 4.3719 4.3719 14.9880 Å, 90.00 90.00 120.00°
Last column: nearest neighbours and their distance in Å.
Space group R3m (No. 160, hexagonal axes)
One atom of each set of equivalent atoms:
Ca  0.0000  0.0000  0.0000 x3  1 Cu 2.91, 4 Zn 2.97-3.24
Zn  0.0000  0.0000  0.8021 x3  3 Cr 2.58, 3 Cu 2.67
Cr  0.0000  0.0000  0.5059 x3  3 Cu 2.54, 3 Zn 2.58
Cu  0.0000  0.0000  0.1939 x3  3 Cr 2.54, 3 Zn 2.67

**Formation energy**: 135 meV/atom
**Fermi-level density of states**: 8.4 states/eV per cell
**Polymorph energy (0 for the lowest one)**: 0.0000 eV/atom
**Calculated total energy**: -49.4 eV per cell



Record 2
An optimized crystal structure of CaZr2CrCu. Source: Alexandria, functional GGA-PBE.

Cell: 4.9674 4.9674 5.2728 Å, 90.00 90.00 90.00°
Last column: nearest neighbours and their distance in Å.
Space group P4/mmm (No. 123)
One atom of each set of equivalent atoms:
Ca  0.0000  0.0000  0.0000 x1  2 Cu 2.64
Zr  0.0000  0.5000  0.5000 x2  2 Cu 2.48
Cr  0.5000  0.5000  0.0000 x1  4 Ca 3.51, 8 Zr 3.62
Cu  0.0000  0.0000  0.5000 x1  4 Zr 2.48, 2 Ca 2.64

**Formation energy**: 800 meV/atom
**Fermi-level density of states**: 8.1 states/eV per cell
**Calculated total energy**: -28.8 eV per cell



Record 3
An optimized crystal structure of Ca2DyCrN4. Source: Alexandria, functional GGA-PBE.

Cell: 7.2399 6.7385 5.1313 Å, 90.00 90.00 90.00°
Last column: nearest neighbours and their distance in Å.
Space group Pmn2_1 (No. 31)
One atom of each set of equivalent atoms:
Ca  0.2443  0.1622  0.0000 x4  4 N 2.22-2.46
Dy  0.0000  0.3672  0.5063 x2  4 N 2.16-2.40
Cr  0.0000  0.6738  0.0463 x2  4 N 1.77-1.84
N  0.0000  0.4073  0.9711 x2  1 Cr 1.84
N  0.0000  0.6763  0.3911 x2  1 Cr 1.77
N  0.2180  0.8017  0.9737 x4  1 Cr 1.84

**Fermi-level density of states**: 8.5 states/eV per cell
**Calculated total energy**: -118.9 eV per cell



Record 4
An optimized crystal structure of CaDy2CrN4. Source: Alexandria, functional GGA-PBE.

Cell: 3.4011 11.6516 11.7035 Å, 90.00 90.00 90.00°
Last column: nearest neighbours and their distance in Å.
Space group Cmcm (No. 63)
One atom of each set of equivalent atoms:
Ca  0.0000  0.0962  0.2500 x4  6 N 2.75-2.78
Dy  0.0000  0.3700  0.0413 x8  6 N 2.32-2.49
Cr  0.0000  0.1723  0.7500 x4  4 N 1.79-1.96
N  0.0000  0.0000  0.0000 x4  4 Dy 2.33
N  0.0000  0.2619  0.6254 x8  1 Cr 1.79
N  0.0000  0.4107  0.2500 x4  2 Cr 1.96

**Fermi-level density of states**: 8.6 states/eV per cell
**Calculated total energy**: -254.1 eV per cell